Material: CeHoV4
Method: DFT, PBE-GGA
State: optimized geometry

The structure in extended XYZ format:
```
6
Lattice="-0.3644 -4.5113 2.8121 4.0503 -3.4623 0.0187 2.9365 -0.6414 4.3998" Properties=species:S:1:pos:R:3 pbc="T T T"
V 4.3092 -3.1427 3.1190
V 4.1292 -5.3717 4.5084
V 2.6783 -5.0548 2.3346
V 2.1280 -3.6610 4.4992
Ce 1.6556 -2.1538 1.8077
Ho 0.0000 0.0000 0.0000
```

Values from the calculation:
* calculated total energy: -7.559 eV per atom
* DFT formation energy: 0.2725 eV/atom
* calculated volume: 107 Å³/cell
* symmetry: F-43m
* M_tot: 0.000 μB per formula unit